# Tb12Tm2Th5

A geometry-optimized Tb12Tm2Th5 structure (PBE, the Alexandria database).

Values from the calculation:
For the total magnetization, the calculation gives 0.000 μB per formula unit. As for the space group: No. 12. The value obtained for the energy of formation is 0.215 eV per atom.

Geometry as POSCAR:
```
Tb12Tm2Th5
1.0
7.060 0.000 0.000
-3.530 8.867 2.965
0.000 0.842 10.169
Th Tb Tm
5 12 2
Direct
0.000 0.000 0.500
0.676 0.353 0.793
0.816 0.632 0.178
0.184 0.368 0.822
0.324 0.647 0.207
0.416 0.335 0.482
0.584 0.665 0.518
0.028 0.055 0.763
0.505 0.010 0.678
0.911 0.315 0.137
0.972 0.945 0.237
0.495 0.990 0.322
0.596 0.685 0.863
0.919 0.335 0.482
0.404 0.315 0.137
0.081 0.665 0.518
0.089 0.685 0.863
0.716 0.000 0.000
0.284 0.000 0.000
```


# MgZrSn

A geometry-optimized MgZrSn structure (PBE, the Alexandria database).

Values from the calculation:
For the total magnetization, the calculation gives 0.000 μB per formula unit. As for the space group: No. 156. The value obtained for the energy of formation is -0.186 eV per atom.

Geometry as POSCAR:
```
MgZrSn
1.0
-1.520 -2.849 0.521
4.174 -1.974 1.379
-2.854 2.118 3.253
Mg Sn Zr
1 1 1
Direct
0.170 0.667 0.333
0.162 0.000 0.000
0.667 0.333 0.667
```


# Cs2Be2CdS4

A geometry-optimized Cs2Be2CdS4 structure (PBE, the Alexandria database).

Values from the calculation:
For the total magnetization, the calculation gives 0.000 μB per formula unit. As for the space group: No. 12. The energy relative to the elements, uncorrected comes out at -957 meV/atom.

Geometry as POSCAR:
```
Cs2Be2CdS4
1.0
-3.767 0.280 -0.043
-0.530 -7.481 -2.272
1.817 0.148 7.791
S Cd Be Cs
4 1 2 2
Direct
0.788 0.860 0.575
0.456 0.194 0.912
0.212 0.140 0.425
0.544 0.806 0.088
0.000 0.000 0.000
0.680 0.979 0.359
0.320 0.021 0.641
0.871 0.475 0.743
0.129 0.525 0.257
```


# GaPt5

A geometry-optimized GaPt5 structure (PBE, the Alexandria database).

Values from the calculation:
For the total magnetization, the calculation gives 0.000 μB per formula unit. The offset from the most stable computed form comes out at 0.11 eV per formula unit. As for the space group: No. 12. The value obtained for the energy of formation is -0.266 eV per atom.

Geometry as POSCAR:
```
GaPt5
1.0
-3.136 -0.888 -2.268
2.702 -3.809 1.232
-3.420 1.027 4.325
Ga Pt
1 5
Direct
0.000 0.000 0.000
0.672 0.344 0.830
0.341 0.683 0.678
0.659 0.317 0.322
0.328 0.656 0.170
0.000 0.000 0.500
```


# Tl2CrRu

A geometry-optimized Tl2CrRu structure (PBE, the Alexandria database).

Values from the calculation:
For the total magnetization, the calculation gives 1.881 μB per formula unit. The offset from the most stable computed form comes out at 0.05 eV per formula unit. As for the space group: No. 99. The value obtained for the energy of formation is 0.415 eV per atom.

Geometry as POSCAR:
```
Tl2CrRu
1.0
3.081 0.024 0.000
-0.025 3.081 0.000
0.000 0.000 8.545
Ru Cr Tl
1 1 2
Direct
0.500 0.500 0.696
0.000 0.000 0.553
0.000 0.000 0.952
0.500 0.500 0.298
```


# NbCoMo

A geometry-optimized NbCoMo structure (PBE, the Alexandria database).

Values from the calculation:
For the total magnetization, the calculation gives 1.656 μB per formula unit. The offset from the most stable computed form comes out at 0.63 eV per formula unit. As for the space group: No. 107. The value obtained for the energy of formation is 0.144 eV per atom.

Geometry as POSCAR:
```
NbCoMo
1.0
3.189 0.000 0.000
0.000 3.189 0.000
-1.594 -1.594 4.483
Co Nb Mo
1 1 1
Direct
0.620 0.620 0.240
0.953 0.953 0.906
0.277 0.277 0.554
```


# Ba2YAs4

A geometry-optimized Ba2YAs4 structure (PBE, the Alexandria database).

Values from the calculation:
For the total magnetization, the calculation gives 0.000 μB per formula unit. As for the space group: No. 139. The value obtained for the energy of formation is -0.629 eV per atom.

Geometry as POSCAR:
```
Ba2YAs4
1.0
-0.136 2.891 -4.563
-1.525 -4.400 -2.741
-8.779 1.115 -2.231
Y Ba As
1 2 4
Direct
0.000 0.000 0.000
0.364 0.364 0.271
0.636 0.636 0.729
0.500 0.000 0.000
0.833 0.833 0.334
0.000 0.500 0.000
0.167 0.167 0.666
```


# TaTcIr2

A geometry-optimized TaTcIr2 structure (PBE, the Alexandria database).

Values from the calculation:
For the total magnetization, the calculation gives 0.000 μB per formula unit. The offset from the most stable computed form comes out at 1.74 eV per formula unit. As for the space group: No. 160. The value obtained for the energy of formation is -0.074 eV per atom.

Geometry as POSCAR:
```
TaTcIr2
1.0
9.329 -0.005 -0.003
8.913 2.756 -0.003
8.913 1.344 2.406
Ir Tc Ta
2 1 1
Direct
0.251 0.251 0.251
0.002 0.002 0.002
0.745 0.745 0.745
0.502 0.502 0.502
```


# Li2U2CuS6

A geometry-optimized Li2U2CuS6 structure (PBE, the Alexandria database).

Values from the calculation:
For the total magnetization, the calculation gives 3.000 μB per formula unit. As for the space group: No. 12. The energy relative to the elements, uncorrected comes out at -1146 meV/atom.

Geometry as POSCAR:
```
Li2U2CuS6
1.0
6.889 -0.279 0.134
-3.647 5.850 0.134
-1.087 -1.868 6.029
S Cu Li U
6 1 2 2
Direct
0.060 0.434 0.747
0.774 0.774 0.717
0.566 0.940 0.253
0.940 0.566 0.253
0.434 0.060 0.747
0.226 0.226 0.283
0.000 0.000 0.500
0.163 0.837 0.000
0.837 0.163 0.000
0.659 0.341 0.500
0.341 0.659 0.500
```


# Na10B13C7

A geometry-optimized Na10B13C7 structure (PBE, the Alexandria database).

Values from the calculation:
For the total magnetization, the calculation gives 0.000 μB per formula unit. The offset from the most stable computed form comes out at 0.24 eV per formula unit. As for the space group: No. 8. The value obtained for the energy of formation is 0.093 eV per atom.

Geometry as POSCAR:
```
Na10B13C7
1.0
-2.662 -7.726 3.744
-0.486 -7.118 5.468
-6.548 10.561 4.539
B Na C
13 10 7
Direct
0.839 0.839 0.929
0.227 0.227 0.704
0.032 0.032 0.816
0.370 0.370 0.489
0.964 0.964 0.678
0.768 0.768 0.785
0.762 0.762 0.273
0.831 0.831 0.411
0.573 0.573 0.897
0.631 0.631 0.511
0.436 0.436 0.123
0.167 0.167 0.084
0.034 0.034 0.317
0.399 0.399 0.300
0.600 0.600 0.201
0.202 0.202 0.900
0.599 0.599 0.699
0.801 0.801 0.101
0.200 0.200 0.398
0.799 0.799 0.599
0.399 0.399 0.801
0.000 0.000 0.499
0.000 0.000 0.002
0.370 0.370 0.993
0.163 0.163 0.576
0.566 0.566 0.381
0.434 0.434 0.615
0.969 0.969 0.187
0.231 0.231 0.212
0.635 0.635 0.022
```


# PmPd5

A geometry-optimized PmPd5 structure (PBE, the Alexandria database).

Values from the calculation:
For the total magnetization, the calculation gives 0.000 μB per formula unit. As for the space group: No. 65. The value obtained for the energy of formation is -0.518 eV per atom.

Geometry as POSCAR:
```
PmPd5
1.0
-2.075 0.250 3.569
2.392 -2.971 1.599
2.726 5.711 1.184
Pd Pm
5 1
Direct
0.500 0.828 0.655
0.500 0.500 0.000
0.000 0.672 0.343
0.500 0.172 0.345
0.000 0.328 0.657
0.000 0.000 0.000
```


# Er4PbSeS2

A geometry-optimized Er4PbSeS2 structure (PBE, the Alexandria database).

Values from the calculation:
For the total magnetization, the calculation gives 0.000 μB per formula unit. As for the space group: No. 10. The energy relative to the elements, uncorrected comes out at -1482 meV/atom.

Geometry as POSCAR:
```
Er4PbSeS2
1.0
3.933 0.000 0.000
0.000 7.130 -0.214
0.000 2.442 6.640
Er S Se Pb
4 2 1 1
Direct
0.500 0.773 0.249
0.500 0.227 0.751
0.000 0.782 0.728
0.000 0.218 0.272
0.500 0.000 0.500
0.000 0.000 0.000
0.000 0.500 0.500
0.500 0.500 0.000
```


- The highest total magnetization belongs to which entry?
  Li2U2CuS6


- Look up the total magnetization of the first one.
  0.000 μB per formula unit


- Look up the total magnetization of the fourth one.
  0.000 μB per formula unit